[1]
# TlSnW2Au

A relaxed structure of TlSnW2Au (PBE-GGA, Alexandria via LeMat-Bulk).

extended XYZ file:
```
5
Lattice="5.0889 0.0000 0.0000 0.0000 5.0889 0.0000 0.0000 0.0000 5.4921" Properties=species:S:1:pos:R:3 pbc="T T T"
Tl 0.0000 0.0000 0.0000
Sn 0.0000 0.0000 2.7460
W 0.0000 2.5444 2.7460
W 2.5444 0.0000 2.7460
Au 2.5444 2.5444 0.0000
```

Properties
ρ in g cm⁻³: 10.365
ΔE_f in meV per atom: 2373.9
SG: P4/mmm

[2]
# TlZnSnAu3

A relaxed structure of TlZnSnAu3 (PBE-GGA, Alexandria via LeMat-Bulk).

extended XYZ file:
```
12
Lattice="3.4583 -7.0096 0.0000 3.4583 7.0096 0.0000 -2.1237 0.0000 5.5518" Properties=species:S:1:pos:R:3 pbc="T T T"
Tl 1.8655 3.8163 4.1638
Tl 2.9274 -3.8163 1.3879
Zn 2.9274 6.8403 1.3879
Zn 1.8655 -6.8403 4.1638
Sn 2.9274 1.3112 1.3879
Sn 1.8655 -1.3112 4.1638
Au 0.6830 1.1490 3.3090
Au 2.9274 4.1503 1.3879
Au 1.7449 -1.1490 0.5331
Au 3.0479 1.1490 5.0187
Au 1.8655 -4.1503 4.1638
Au 4.1098 -1.1490 2.2428
```

Properties
ρ in g cm⁻³: 12.084
ΔE_f in meV per atom: -54.9
SG: C2/c

[3]
# Tm3Sn4Au3

A relaxed structure of Tm3Sn4Au3 (PBE-GGA, Alexandria via LeMat-Bulk).

extended XYZ file:
```
20
Lattice="-4.9414 4.9414 4.9414 4.9414 -4.9414 4.9414 4.9414 4.9414 -4.9414" Properties=species:S:1:pos:R:3 pbc="T T T"
Tm 7.4122 1.2354 0.0000
Tm 3.7061 0.0000 2.4707
Tm 2.4707 3.7061 0.0000
Tm 0.0000 2.4707 3.7061
Tm 1.2354 0.0000 7.4122
Tm 0.0000 7.4122 1.2354
Sn 4.0580 0.8834 -0.8834
Sn 6.5287 -1.5873 1.5873
Sn 0.8834 0.8834 0.8834
Sn 0.8834 -0.8834 4.0580
Sn -0.8834 4.0580 0.8834
Sn 1.5873 6.5287 -1.5873
Sn 3.3541 3.3541 3.3541
Sn -1.5873 1.5873 6.5287
Au 4.9414 -2.4707 3.7061
Au 3.7061 4.9414 -2.4707
Au 4.9414 2.4707 1.2354
Au 2.4707 1.2354 4.9414
Au 1.2354 4.9414 2.4707
Au -2.4707 3.7061 4.9414
```

Properties
ρ in g cm⁻³: 10.821
ΔE_f in meV per atom: -614.0
SG: I-43d

[4]
# TmSnAu2

A relaxed structure of TmSnAu2 (PBE-GGA, Alexandria via LeMat-Bulk).

extended XYZ file:
```
4
Lattice="3.6782 0.0000 0.0000 0.0000 3.6782 0.0000 0.0000 0.0000 6.5492" Properties=species:S:1:pos:R:3 pbc="T T T"
Tm 0.0000 0.0000 0.0000
Sn 0.0000 0.0000 3.2746
Au 1.8391 1.8391 1.5221
Au 1.8391 1.8391 5.0271
```

Properties
ρ in g cm⁻³: 12.773
ΔE_f in meV per atom: -606.2
SG: P4/mmm

Values for calculated volume, Å³ per atom, ordered as above
28.445; 22.430; 24.132; 22.151